Entry from the Alexandria database: crystalline BaNa2Tc at its relaxed geometry (PBE).

Lattice parameters (Å, degrees): 7.8909 7.8909 7.8909 90.00 90.00 90.00
Last column: nearest neighbours and their distance in Å.
Space group Fm-3m (No. 225)
Unique sites:
Ba (0.0000, 0.0000, 0.0000) [4 per cell]  8 Na 3.42
Na (0.2500, 0.2500, 0.2500) [8 per cell]  4 Ba 3.42, 4 Tc 3.42
Tc (0.0000, 0.0000, 0.5000) [4 per cell]  8 Na 3.42

Calculated values
The value obtained for the energy is -44.7 eV/cell. The value obtained for the total magnetic moment is 10.3 μB/cell. The energy above the most stable polymorph in this dataset is 0.054 eV per formula unit.



Entry from the Alexandria database: crystalline Sr2TlCrCl8 at its relaxed geometry (PBE).

Lattice parameters (Å, degrees): 6.3403 8.9335 6.4699 90.00 90.31 90.00
Last column: nearest neighbours and their distance in Å.
Space group P2/m (No. 10)
Unique sites:
Sr (0.0000, 0.2419, 0.0000) [2 per cell]  6 Cl 2.85-3.05
Tl (0.5000, 0.5000, 0.5000) [1 per cell]  6 Cl 3.01-3.24
Cr (0.5000, 0.0000, 0.5000) [1 per cell]  6 Cl 2.36-2.44
Cl (0.2370, 0.5000, 0.8864) [2 per cell]  2 Sr 2.85, 1 Tl 3.01
Cl (0.2712, 0.0000, 0.8012) [2 per cell]  1 Cr 2.44
Cl (0.2861, 0.1886, 0.3516) [4 per cell]  1 Cr 2.36

Calculated values
The value obtained for the energy is -50.6 eV/cell. The value obtained for the total magnetic moment is 3.0 μB/cell. As for the formation energy from raw total energies: -1.71 eV per atom.